This record from Alexandria describes a relaxed structure of Tm3InPt2. The functional is PBE.

Cell lengths 3.489, 3.489, 10.993 Å; angles 90.00, 90.00, 90.00 degrees
Element x y z (fractional)
1 Tm 0.000 0.000 0.694
2 Pt 0.500 0.500 0.160
3 In 0.500 0.500 0.500
4 Tm 0.000 0.000 0.000
5 Tm 0.000 0.000 0.306
6 Pt 0.500 0.500 0.840

Computed properties:
* V: 22.304 A^3/atom
* energy relative to the elements: -1.02 eV per atom
* total energy: -5.7273 eV/atom
* DOS(E_F): 1.87 states/eV per cell